# 1
# CaTiSb2Au, optimized geometry, DFT PBE-GGA
data_CaTiSb2Au
_chemical_formula_sum 'Ca1 Ti1 Sb2 Au1'
_space_group_name_H-M_alt 'P 4/m m m'
_space_group_IT_number 123
_space_group_name_Hall '-P 4 2'
_cell_length_a 5.493
_cell_length_b 5.493
_cell_length_c 5.048
_cell_angle_alpha 90.00
_cell_angle_beta 90.00
_cell_angle_gamma 90.00
loop_
_atom_site_label
_atom_site_type_symbol
_atom_site_fract_x
_atom_site_fract_y
_atom_site_fract_z
Ca1 Ca 0.000 0.000 0.000
Ti1 Ti 0.500 0.500 0.000
Sb1 Sb 0.000 0.500 0.500
Au1 Au 0.500 0.500 0.500
# - formation energy without anion corrections (eV/atom) = 0.228



# 2
# CaTlSbAu, optimized geometry, DFT PBE-GGA
data_CaTlSbAu
_chemical_formula_sum 'Ca2 Tl2 Sb2 Au2'
_space_group_name_H-M_alt 'C 1 m 1'
_space_group_IT_number 8
_space_group_name_Hall 'C -2y'
_cell_length_a 8.283
_cell_length_b 4.796
_cell_length_c 6.477
_cell_angle_alpha 90.00
_cell_angle_beta 115.28
_cell_angle_gamma 90.00
loop_
_atom_site_label
_atom_site_type_symbol
_atom_site_fract_x
_atom_site_fract_y
_atom_site_fract_z
Ca1 Ca 0.000 0.000 0.000
Tl1 Tl 0.305 0.500 0.411
Sb1 Sb 0.235 0.000 0.698
Au1 Au 0.397 0.000 0.194
# - formation energy without anion corrections (eV/atom) = -0.379
# - ΔE to the lowest computed polymorph (meV per atom) = 77



# 3
# CaTlSbAu, optimized geometry, DFT PBE-GGA
data_CaTlSbAu
_chemical_formula_sum 'Ca1 Tl1 Sb1 Au1'
_space_group_name_H-M_alt 'P 1'
_space_group_IT_number 1
_space_group_name_Hall 'P 1'
_cell_length_a 3.945
_cell_length_b 4.973
_cell_length_c 6.024
_cell_angle_alpha 73.14
_cell_angle_beta 70.98
_cell_angle_gamma 89.80
loop_
_atom_site_label
_atom_site_type_symbol
_atom_site_fract_x
_atom_site_fract_y
_atom_site_fract_z
Ca1 Ca 0.000 0.000 0.000
Tl1 Tl 0.204 0.683 0.589
Sb1 Sb 0.438 0.447 0.124
Au1 Au 0.744 0.183 0.509
# - formation energy without anion corrections (eV/atom) = -0.401
# - ΔE to the lowest computed polymorph (meV per atom) = 55



Please write out number 2 again, unchanged.
# CaTlSbAu, optimized geometry, DFT PBE-GGA
data_CaTlSbAu
_chemical_formula_sum 'Ca2 Tl2 Sb2 Au2'
_space_group_name_H-M_alt 'C 1 m 1'
_space_group_IT_number 8
_space_group_name_Hall 'C -2y'
_cell_length_a 8.283
_cell_length_b 4.796
_cell_length_c 6.477
_cell_angle_alpha 90.00
_cell_angle_beta 115.28
_cell_angle_gamma 90.00
loop_
_atom_site_label
_atom_site_type_symbol
_atom_site_fract_x
_atom_site_fract_y
_atom_site_fract_z
Ca1 Ca 0.000 0.000 0.000
Tl1 Tl 0.305 0.500 0.411
Sb1 Sb 0.235 0.000 0.698
Au1 Au 0.397 0.000 0.194
# - formation energy without anion corrections (eV/atom) = -0.379
# - ΔE to the lowest computed polymorph (meV per atom) = 77



Q: Look up the formation energy without anion corrections of the third one.
A: -0.401 eV/atom



Q: What is the formula in the first record?
A: CaTiSb2Au



Q: Which of these has the lowest formation energy without anion corrections?
A: number 3